Here is ScMnCu after structural relaxation from Alexandria via LeMat-Bulk. Energies are from PBE.

Cell: 5.237 5.237 5.237 Å, 144.47 144.47 51.12°
Atoms (fractional coordinates):
Sc 0.000 0.000 0.000
Mn 0.681 0.681 0.000
Cu 0.319 0.319 0.000

Results
**ΔE_f**: 21 meV/atom
**E_tot**: -6.51 eV/atom
**Fermi-level density of states**: 3.227 states/eV/cell